## ScMoPb2 (PBE)

Data for an optimized crystal structure of ScMoPb2.

```
ScMoPb2
1.0
-1.866 2.388 3.623
1.356 -2.080 2.070
5.138 2.904 0.732
Mo Pb Sc
1 2 1
direct
0.500 0.750 0.750 Mo
0.000 0.954 0.995 Pb
0.000 0.546 0.505 Pb
0.500 0.250 0.250 Sc
```

* density: 10.2 g cm⁻³
* space group: P2/m (10)
* total DFT energy (no corrections): -23.30 eV/cell